No. 1
A relaxed structure of Fe2NCl. Source: Alexandria, functional PBE-GGA.

The value obtained for the calculated volume is 190.2 Å³ per cell. The final energy is -5.85 eV/atom. The calculation puts the uncorrected formation energy at 923 meV per atom. Its energy above the most stable polymorph in this dataset is 808 meV per atom.

a b c (Å): 5.7508 5.7508 5.7508
angles (deg): 90.00 90.00 90.00
Last column: nearest neighbours and their distance in Å.
Fractional positions:
1 Fe 0.2500 0.2500 0.2500  4 Cl 2.49, 4 N 2.49
2 Fe 0.2500 0.2500 0.7500  4 Cl 2.49, 4 N 2.49
3 Fe 0.2500 0.7500 0.2500  4 Cl 2.49, 4 N 2.49
4 Fe 0.2500 0.7500 0.7500  4 Cl 2.49, 4 N 2.49
5 Fe 0.7500 0.2500 0.2500  4 Cl 2.49, 4 N 2.49
6 Fe 0.7500 0.2500 0.7500  4 Cl 2.49, 4 N 2.49
7 Fe 0.7500 0.7500 0.2500  4 Cl 2.49, 4 N 2.49
8 Fe 0.7500 0.7500 0.7500  4 N 2.49, 4 Cl 2.49
9 N 0.0000 0.0000 0.0000  8 Fe 2.49
10 N 0.0000 0.5000 0.5000  8 Fe 2.49
11 N 0.5000 0.0000 0.5000  8 Fe 2.49
12 N 0.5000 0.5000 0.0000  8 Fe 2.49
13 Cl 0.0000 0.0000 0.5000  8 Fe 2.49
14 Cl 0.0000 0.5000 0.0000  8 Fe 2.49
15 Cl 0.5000 0.0000 0.0000  8 Fe 2.49
16 Cl 0.5000 0.5000 0.5000  8 Fe 2.49

No. 2
A relaxed structure of PrErNi2. Source: Alexandria, functional PBE-GGA.

The value obtained for the calculated volume is 167.6 Å³ per cell. The final energy is -5.60 eV/atom. As for the formation energy: -0.3768 eV/atom. Its energy above the most stable polymorph in this dataset is 0 meV per atom.

a b c (Å): 4.2656 3.7969 10.3496
angles (deg): 90.00 90.00 90.00
Last column: nearest neighbours and their distance in Å.
Fractional positions:
1 Pr 0.0000 0.0000 0.0000  7 Ni 2.93-2.96
2 Pr 0.0000 0.5000 0.5000  7 Ni 2.93-2.96
3 Er 0.5000 0.0000 0.2772  7 Ni 2.82-3.09
4 Er 0.5000 0.5000 0.7772  7 Ni 2.82-3.09
5 Ni 0.0000 0.0000 0.7168  2 Ni 2.59
6 Ni 0.0000 0.5000 0.2168  2 Ni 2.59
7 Ni 0.5000 0.0000 0.5753  2 Ni 2.59, 2 Er 2.82
8 Ni 0.5000 0.5000 0.0753  2 Ni 2.59, 2 Er 2.82

| no. | D(E_F) (states/eV per cell) |
| --- | --- |
| 1 | 16.40 |
| 2 | 4.99 |